No. 1
VASP calculation (PBE) on Sr2AlRu after structural relaxation.

Computed properties:
* M_tot: 0.363 μB per formula unit
* symmetry: R-3m, No. 166
* calculated volume: 112 Å³/cell
* formation energy: 2.23 eV per formula unit
* D(E_F): 0.8614 states/eV/atom

```
Sr2AlRu
1.0
10.073 -0.012 -0.007
9.426 3.550 -0.007
9.426 1.711 3.111
Sr Al Ru
2 1 1
Cartesian
14.150 2.568 1.515 Sr
0.313 0.057 0.034 Sr
7.231 1.312 0.774 Al
21.694 3.937 2.323 Ru
```

=====

No. 2
VASP calculation (PBE) on Sr2AlRu after structural relaxation.

Computed properties:
* M_tot: 0.000 μB per formula unit
* symmetry: P4mm, No. 99
* calculated volume: 111 Å³/cell
* formation energy: -0.19 eV per formula unit
* D(E_F): 0.6818 states/eV/atom

```
Sr2AlRu
1.0
3.495 0.000 0.000
0.000 3.495 0.000
0.000 0.000 9.064
Al Sr Ru
1 2 1
Cartesian
0.000 0.000 5.266 Al
0.000 0.000 8.333 Sr
1.747 1.747 2.986 Sr
1.747 1.747 6.074 Ru
```

=====

No. 3
VASP calculation (PBE) on Sr2AlRu after structural relaxation.

Computed properties:
* M_tot: 0.000 μB per formula unit
* symmetry: Cm, No. 8
* calculated volume: 133 Å³/cell
* formation energy: -0.65 eV per formula unit
* D(E_F): 0.9022 states/eV/atom

```
Sr2AlRu
1.0
-2.663 0.627 3.338
-1.240 -3.342 2.432
5.197 0.301 6.841
Al Ru Sr
1 1 2
Cartesian
-0.167 -1.358 5.690 Al
1.138 -0.453 3.771 Ru
-3.132 -2.570 6.344 Sr
0.198 -1.956 8.883 Sr
```

=====

No. 4
VASP calculation (PBE) on SrAlRu2 after structural relaxation.

Computed properties:
* M_tot: 0.000 μB per formula unit
* symmetry: Pmm2, No. 25
* calculated volume: 78 Å³/cell
* formation energy: 0.54 eV per formula unit
* D(E_F): 0.7444 states/eV/atom

```
SrAlRu2
1.0
3.645 0.000 0.000
0.000 2.905 0.317
0.000 2.106 7.606
Ru Al Sr
2 1 1
Cartesian
1.822 1.319 1.391 Ru
0.000 2.892 0.445 Ru
1.822 3.700 6.466 Al
0.000 2.511 3.899 Sr
```

=====

- Which value of calculated volume does entry 2 give?
  111 Å³/cell

=====

- The lowest D(E_F) belongs to which entry?
  number 2

=====

Please write out number 1 again, unchanged.
VASP calculation (PBE) on Sr2AlRu after structural relaxation.

Computed properties:
* M_tot: 0.363 μB per formula unit
* symmetry: R-3m, No. 166
* calculated volume: 112 Å³/cell
* formation energy: 2.23 eV per formula unit
* D(E_F): 0.8614 states/eV/atom

```
Sr2AlRu
1.0
10.073 -0.012 -0.007
9.426 3.550 -0.007
9.426 1.711 3.111
Sr Al Ru
2 1 1
Cartesian
14.150 2.568 1.515 Sr
0.313 0.057 0.034 Sr
7.231 1.312 0.774 Al
21.694 3.937 2.323 Ru
```

=====

Repeat the second record exactly.
VASP calculation (PBE) on Sr2AlRu after structural relaxation.

Computed properties:
* M_tot: 0.000 μB per formula unit
* symmetry: P4mm, No. 99
* calculated volume: 111 Å³/cell
* formation energy: -0.19 eV per formula unit
* D(E_F): 0.6818 states/eV/atom

```
Sr2AlRu
1.0
3.495 0.000 0.000
0.000 3.495 0.000
0.000 0.000 9.064
Al Sr Ru
1 2 1
Cartesian
0.000 0.000 5.266 Al
0.000 0.000 8.333 Sr
1.747 1.747 2.986 Sr
1.747 1.747 6.074 Ru
```